{"formula": "CsHf2Nb", "functional": "PBE", "state": "optimized geometry", "lattice_angstrom": [[-3.877, -0.252, 3.373], [-4.649, 1.791, -1.286], [-3.890, -3.274, -0.791]], "species": ["Hf", "Hf", "Cs", "Nb"], "fractional_positions": [[0.750, 0.750, 0.750], [0.250, 0.250, 0.250], [0.500, 0.500, 0.500], [0.000, 0.000, 0.000]], "delta_e_f_ev_per_atom": 1.277, "polymorph_energy_mev_per_atom": 0, "magmom_total_mub_per_fu": 0.00, "dos_at_fermi_per_ev_atom": 0.73}

{"formula": "SrZrNF2", "functional": "PBE", "state": "optimized geometry", "lattice_angstrom": [[-2.216, 3.247, -1.933], [-3.169, -2.818, -1.099], [-2.022, 0.827, 3.709]], "species": ["Zr", "N", "F", "F", "Sr"], "fractional_positions": [[0.000, 0.000, 0.000], [0.000, 0.000, 0.500], [0.500, 0.000, 0.000], [0.000, 0.500, 0.000], [0.500, 0.500, 0.500]], "polymorph_energy_mev_per_atom": 0, "magmom_total_mub_per_fu": 0.68, "dos_at_fermi_per_ev_atom": 0.42}

{"formula": "HfGaI2", "functional": "PBE", "state": "optimized geometry", "lattice_angstrom": [[3.150, 2.742, 3.087], [-1.666, 1.595, 4.653], [1.918, -2.149, 4.322]], "species": ["I", "I", "Hf", "Ga"], "fractional_positions": [[0.250, 0.250, 0.250], [0.750, 0.750, 0.750], [0.500, 0.500, 0.500], [0.000, 0.000, 0.000]], "polymorph_energy_mev_per_atom": 249, "magmom_total_mub_per_fu": 0.00, "dos_at_fermi_per_ev_atom": 0.75}

{"formula": "CdIrN2", "functional": "PBE", "state": "optimized geometry", "lattice_angstrom": [[2.028, -6.312, 0.603], [4.731, -4.675, -0.274], [3.765, -4.686, 2.861]], "species": ["N", "N", "Ir", "Cd"], "fractional_positions": [[0.906, 0.906, 0.906], [0.094, 0.094, 0.094], [0.000, 0.000, 0.000], [0.500, 0.500, 0.500]], "magmom_total_mub_per_fu": 0.00, "dos_at_fermi_per_ev_atom": 0.24, "dft_energy_ha_per_atom": -0.2055}

{"formula": "Sm2AlW", "functional": "PBE", "state": "optimized geometry", "lattice_angstrom": [[-0.645, 0.916, 2.905], [-2.875, -0.356, 1.142], [1.589, -9.924, 5.152]], "species": ["Sm", "Sm", "W", "Al"], "fractional_positions": [[0.087, 0.087, 0.740], [0.913, 0.913, 0.260], [0.000, 0.000, 0.000], [0.500, 0.500, 0.500]], "delta_e_f_ev_per_atom": 0.733, "magmom_total_mub_per_fu": 0.00, "dos_at_fermi_per_ev_atom": 1.54}

{"formula": "EuHoCu", "functional": "PBE", "state": "optimized geometry", "lattice_angstrom": [[-0.988, 0.359, 3.415], [-0.662, -3.507, 0.178], [6.812, 0.537, 0.045]], "species": ["Ho", "Cu", "Eu"], "fractional_positions": [[0.294, 0.294, 0.589], [0.681, 0.681, 0.363], [0.024, 0.024, 0.049]], "delta_e_f_ev_per_atom": -0.090, "magmom_total_mub_per_fu": 7.21, "dos_at_fermi_per_ev_atom": 1.16}